The following is a DFT calculation (PBE-GGA) of an optimized crystal structure of HgAs2SBr.

Lattice parameters (Å, degrees): 4.9341 4.9341 5.3441 90.00 90.00 90.00
With the nearest neighbours (Å) after each atom.
Fractional positions:
S 0.0000 0.0000 0.0000  4 As 2.47, 2 Br 2.67
As 0.0000 0.5000 0.0000  2 S 2.47
As 0.5000 0.0000 0.0000  2 S 2.47
Hg 0.5000 0.5000 0.5000  4 Br 3.49, 8 As 3.64
Br 0.0000 0.0000 0.5000  2 S 2.67

Results
DOS at the Fermi energy: 3.742 states/eV/cell
Polymorph energy (0 for the lowest one): 0.000 eV per atom
E_form (uncorrected): 0.63 eV/atom
VASP energy: -2.45 eV/atom
Total magnetization: 1.33 μB per formula unit
Space group: P4/mmm, No. 123